Density functional theory data (PBE) for crystalline AlSb2Ir at its relaxed geometry.

Cell: 7.332 7.332 7.332 Å, 129.82 129.82 73.70°
Sites, in units of the cell vectors:
Al: 0.000 0.000 0.000
Al: 0.750 0.250 0.500
Sb: 0.148 0.625 0.023
Sb: 0.375 0.398 0.523
Sb: 0.602 0.125 0.977
Sb: 0.875 0.852 0.477
Ir: 0.250 0.750 0.500
Ir: 0.500 0.500 0.000

Energy (eV per atom): -5.0482